1.
First-principles (PBE-GGA) data for Ba2BeCo after structural relaxation, as listed in the Alexandria database.

```
Ba2BeCo
1.0
-2.3736 2.3736 4.8545
2.3736 -2.3736 4.8545
2.3736 2.3736 -4.8545
Ba Be Co
2 1 1
Direct
0.0000 0.0000 0.0000
0.7500 0.2500 0.5000
0.2500 0.7500 0.5000
0.5000 0.5000 0.0000
```

Properties
Space-group type: I-4m2

---

2.
First-principles (PBE-GGA) data for BaBeCo2 after structural relaxation, as listed in the Alexandria database.

```
BaBeCo2
1.0
0.0000 3.3551 3.3551
3.3551 0.0000 3.3551
3.3551 3.3551 0.0000
Ba Be Co
1 1 2
Direct
0.0000 0.0000 0.0000
0.2500 0.2500 0.2500
0.5000 0.5000 0.5000
0.7500 0.7500 0.7500
```

Properties
Space-group type: F-43m

---

3.
First-principles (PBE-GGA) data for Ba2BeCo after structural relaxation, as listed in the Alexandria database.

```
Ba2BeCo
1.0
3.9001 0.0000 0.0000
0.0000 3.8970 0.0000
-0.0084 0.0000 7.7352
Ba Be Co
2 1 1
Direct
0.0012 0.0000 0.2595
0.9988 0.0000 0.7405
0.5000 0.5000 0.0000
0.5000 0.5000 0.5000
```

Properties
Space-group type: P2/m

---

4.
First-principles (PBE-GGA) data for BaBeCo2 after structural relaxation, as listed in the Alexandria database.

```
BaBeCo2
1.0
3.1007 0.0000 0.0000
0.0000 3.1007 0.0000
0.0000 0.0000 7.0733
Ba Be Co
1 1 2
Direct
0.0000 0.0000 0.0000
0.0000 0.0000 0.5000
0.5000 0.5000 0.3495
0.5000 0.5000 0.6505
```

Properties
Space-group type: P4/mmm

---

5.
First-principles (PBE-GGA) data for BaBeCo2 after structural relaxation, as listed in the Alexandria database.

```
BaBeCo2
1.0
2.9236 -4.3263 0.0000
2.9236 4.3263 0.0000
-1.5373 0.0000 2.6611
Ba Be Co
1 1 2
Direct
0.0000 0.0000 0.0000
0.5000 0.5000 0.0000
0.0000 0.5000 0.5000
0.5000 0.0000 0.5000
```

Properties
Space-group type: C2/m

---

6.
First-principles (PBE-GGA) data for Ba2BeCo after structural relaxation, as listed in the Alexandria database.

```
Ba2BeCo
1.0
2.2200 1.2817 8.1109
-2.2200 1.2817 8.1109
0.0000 -2.5635 8.1109
Ba Be Co
2 1 1
Direct
0.2430 0.2430 0.2430
0.7570 0.7570 0.7570
0.0000 0.0000 0.0000
0.5000 0.5000 0.5000
```

Properties
Space-group type: R-3m

---

7.
First-principles (PBE-GGA) data for BaBe4Co after structural relaxation, as listed in the Alexandria database.

```
BaBe4Co
1.0
0.0000 3.4589 3.4589
3.4589 0.0000 3.4589
3.4589 3.4589 0.0000
Ba Be Co
1 4 1
Direct
0.0000 0.0000 0.0000
0.3836 0.3836 0.3836
0.3836 0.3836 0.8491
0.3836 0.8491 0.3836
0.8491 0.3836 0.3836
0.7500 0.7500 0.7500
```

Properties
Space-group type: F-43m

---

8.
First-principles (PBE-GGA) data for BaBeCo2 after structural relaxation, as listed in the Alexandria database.

```
BaBeCo2
1.0
-1.9795 1.9795 4.3240
1.9795 -1.9795 4.3240
1.9795 1.9795 -4.3240
Ba Be Co
1 1 2
Direct
0.0000 0.0000 0.0000
0.2500 0.7500 0.5000
0.5000 0.5000 0.0000
0.7500 0.2500 0.5000
```

Properties
Space-group type: I-4m2

---

Number 1: DFT formation energy 855 meV per atom. Number 2: DFT formation energy 1105 meV per atom. Number 3: DFT formation energy 680 meV per atom. Number 4: DFT formation energy 554 meV per atom. Number 5: DFT formation energy 1110 meV per atom. Number 6: DFT formation energy 858 meV per atom. Number 7: DFT formation energy 636 meV per atom. Number 8: DFT formation energy 1077 meV per atom.